[1]
This record from the Alexandria database describes crystalline Ta3CuNi at its relaxed geometry. The functional is PBE-GGA. Values from VASP.

Computed properties:
As for the mass density: 11.552 g/cm3. Its symmetry is Pm-3m. Its formation energy is 1.038 eV/atom. The calculation puts the magnetic moment at 0.00 μB/f.u.

```
&SYSTEM
  ibrav = 0, nat = 5, ntyp = 3
/
ATOMIC_SPECIES
Ni 58.69 Ni.upf
Cu 63.55 Cu.upf
Ta 180.95 Ta.upf
CELL_PARAMETERS angstrom
-3.361 -2.396 1.967
2.011 0.523 4.073
-2.359 3.859 0.669
ATOMIC_POSITIONS crystal
Ni 0.000 0.000 0.000
Cu 0.500 0.500 0.500
Ta 0.000 0.500 0.000
Ta 0.000 0.000 0.500
Ta 0.500 0.000 0.000
```

***

[2]
This record from the Alexandria database describes crystalline Ta2CuNi2 at its relaxed geometry. The functional is PBE-GGA. Values from VASP.

Computed properties:
As for the mass density: 12.584 g/cm3. Its symmetry is P4/mbm. Its formation energy is -0.091 eV/atom. The calculation puts the magnetic moment at 0.00 μB/f.u.

```
&SYSTEM
  ibrav = 0, nat = 10, ntyp = 3
/
ATOMIC_SPECIES
Ni 58.69 Ni.upf
Cu 63.55 Cu.upf
Ta 180.95 Ta.upf
CELL_PARAMETERS angstrom
6.719 0.000 0.000
0.000 6.719 0.000
0.000 0.000 3.173
ATOMIC_POSITIONS crystal
Ni 0.373 0.873 0.000
Ni 0.873 0.627 0.000
Ni 0.627 0.127 0.000
Ni 0.127 0.373 0.000
Cu 0.000 0.000 0.000
Cu 0.500 0.500 0.000
Ta 0.175 0.675 0.500
Ta 0.675 0.825 0.500
Ta 0.825 0.325 0.500
Ta 0.325 0.175 0.500
```

***

[3]
This record from the Alexandria database describes crystalline TaCuNi at its relaxed geometry. The functional is PBE-GGA. Values from VASP.

Computed properties:
As for the mass density: 10.133 g/cm3. Its symmetry is F-43m. Its formation energy is 0.622 eV/atom. The calculation puts the magnetic moment at 0.00 μB/f.u.

```
&SYSTEM
  ibrav = 0, nat = 3, ntyp = 3
/
ATOMIC_SPECIES
Cu 63.55 Cu.upf
Ni 58.69 Ni.upf
Ta 180.95 Ta.upf
CELL_PARAMETERS angstrom
-3.853 0.673 1.316
-1.361 -1.848 3.429
-0.655 2.218 3.418
ATOMIC_POSITIONS crystal
Cu 0.000 0.000 0.000
Ni 0.500 0.500 0.500
Ta 0.750 0.750 0.750
```

***

[4]
This record from the Alexandria database describes crystalline TaCu2Ni at its relaxed geometry. The functional is PBE-GGA. Values from VASP.

Computed properties:
As for the mass density: 11.397 g/cm3. Its symmetry is P2/m. Its formation energy is 0.062 eV/atom. The calculation puts the magnetic moment at 0.00 μB/f.u.

```
&SYSTEM
  ibrav = 0, nat = 4, ntyp = 3
/
ATOMIC_SPECIES
Cu 63.55 Cu.upf
Ni 58.69 Ni.upf
Ta 180.95 Ta.upf
CELL_PARAMETERS angstrom
-2.093 3.411 1.660
-2.252 -0.891 -1.009
-1.436 -2.666 3.668
ATOMIC_POSITIONS crystal
Cu 0.000 0.089 0.013
Cu 0.000 0.411 0.487
Ni 0.500 0.250 0.250
Ta 0.500 0.750 0.750
```

***

[5]
This record from the Alexandria database describes crystalline TaCuNi3 at its relaxed geometry. The functional is PBE-GGA. Values from VASP.

Computed properties:
As for the mass density: 9.428 g/cm3. Its symmetry is Pm-3m. Its formation energy is 1.004 eV/atom. The calculation puts the magnetic moment at 1.69 μB/f.u.

```
&SYSTEM
  ibrav = 0, nat = 5, ntyp = 3
/
ATOMIC_SPECIES
Ni 58.69 Ni.upf
Cu 63.55 Cu.upf
Ta 180.95 Ta.upf
CELL_PARAMETERS angstrom
4.200 0.000 0.000
0.000 4.200 0.000
0.000 0.000 4.200
ATOMIC_POSITIONS crystal
Ni 0.000 0.500 0.000
Ni 0.000 0.000 0.500
Ni 0.500 0.000 0.000
Cu 0.000 0.000 0.000
Ta 0.500 0.500 0.500
```

***

[6]
This record from the Alexandria database describes crystalline TaCu2Ni at its relaxed geometry. The functional is PBE-GGA. Values from VASP.

Computed properties:
As for the mass density: 11.548 g/cm3. Its symmetry is Imm2. Its formation energy is 0.002 eV/atom. The calculation puts the magnetic moment at 0.00 μB/f.u.

```
&SYSTEM
  ibrav = 0, nat = 4, ntyp = 3
/
ATOMIC_SPECIES
Cu 63.55 Cu.upf
Ni 58.69 Ni.upf
Ta 180.95 Ta.upf
CELL_PARAMETERS angstrom
-2.077 3.740 1.049
-3.381 -0.023 -2.823
1.191 -3.228 2.750
ATOMIC_POSITIONS crystal
Cu 0.000 0.000 0.000
Cu 0.750 0.250 0.500
Ni 0.500 0.500 0.000
Ta 0.250 0.750 0.500
```

***

[7]
This record from the Alexandria database describes crystalline TaCuNi4 at its relaxed geometry. The functional is PBE-GGA. Values from VASP.

Computed properties:
As for the mass density: 10.528 g/cm3. Its symmetry is C2/m. Its formation energy is 0.016 eV/atom. The calculation puts the magnetic moment at 0.00 μB/f.u.

```
&SYSTEM
  ibrav = 0, nat = 12, ntyp = 3
/
ATOMIC_SPECIES
Ta 180.95 Ta.upf
Cu 63.55 Cu.upf
Ni 58.69 Ni.upf
CELL_PARAMETERS angstrom
4.705 -1.046 0.000
-1.278 4.855 0.000
0.000 0.000 7.030
ATOMIC_POSITIONS crystal
Ta 0.000 0.250 0.750
Ta 0.000 0.750 0.250
Cu 0.500 0.250 0.250
Cu 0.500 0.750 0.750
Ni 0.257 0.499 0.062
Ni 0.257 0.499 0.438
Ni 0.743 0.001 0.062
Ni 0.743 0.501 0.562
Ni 0.743 0.001 0.438
Ni 0.257 0.999 0.938
Ni 0.257 0.999 0.562
Ni 0.743 0.501 0.938
```

***

[8]
This record from the Alexandria database describes crystalline TaCuNi at its relaxed geometry. The functional is PBE-GGA. Values from VASP.

Computed properties:
As for the mass density: 10.870 g/cm3. Its symmetry is F-43m. Its formation energy is 0.279 eV/atom. The calculation puts the magnetic moment at 0.00 μB/f.u.

```
&SYSTEM
  ibrav = 0, nat = 3, ntyp = 3
/
ATOMIC_SPECIES
Cu 63.55 Cu.upf
Ni 58.69 Ni.upf
Ta 180.95 Ta.upf
CELL_PARAMETERS angstrom
4.031 0.000 0.000
2.015 3.491 0.000
2.015 1.164 3.291
ATOMIC_POSITIONS crystal
Cu 0.500 0.500 0.500
Ni 0.750 0.750 0.750
Ta 0.000 0.000 0.000
```